An optimized crystal structure of Co4Re9, computed with GGA-PBE.

The total magnetization is 9.34 Bohr magnetons per cell. The calculation puts the final energy at -10.382 eV/atom. The calculation puts the energy of formation from the pure elements at 0.4049 eV per atom.

a = 4.9992 Å, b = 4.9992 Å, c = 26.1021 Å
α = 90.00°, β = 90.00°, γ = 120.00°
With the nearest neighbours (Å) after each atom.
Space group R-3m (No. 166, hexagonal axes)
One atom of each set of equivalent atoms:
Co: 0.0000 0.0000 0.0470 x6  2 Co 2.45-2.61, 6 Re 2.71
Co: 0.0000 0.0000 0.1469 x6  1 Co 2.61
Re: 0.0000 0.0000 0.3358 x6  9 Re 2.67-2.89
Re: 0.0000 0.0000 0.5000 x3  6 Re 2.54
Re: 0.0077 0.5038 0.9125 x18  6 Re 2.44-2.67, 2 Co 2.71

=====

An optimized crystal structure of CuAg4, computed with GGA-PBE.

The calculation puts the final energy at -2.948 eV/atom. The calculation puts the energy of formation from the pure elements at 0.0546 eV per atom.

a = 4.9693 Å, b = 2.9075 Å, c = 11.7677 Å
α = 90.00°, β = 97.03°, γ = 90.00°
With the nearest neighbours (Å) after each atom.
Space group P2/m (No. 10)
One atom of each set of equivalent atoms:
Cu: 0.1956 0.0000 0.0966 x2  9 Ag 2.72-2.95, 3 Cu 2.80-2.91
Ag: 0.0000 0.0000 0.5000 x1  12 Ag 2.88-2.97
Ag: 0.1009 0.5000 0.2899 x2  2 Cu 2.79, 10 Ag 2.86-2.97
Ag: 0.2902 0.5000 0.9101 x2  6 Cu 2.72-2.95, 6 Ag 2.78-2.91
Ag: 0.4038 0.0000 0.7081 x2  1 Cu 2.85, 11 Ag 2.86-2.97
Ag: 0.5000 0.5000 0.5000 x1  12 Ag 2.88-2.97

=====

An optimized crystal structure of Dy2Y4ErNi2Te2, computed with GGA-PBE.

The total magnetization is 0.05 Bohr magnetons per cell. The calculation puts the final energy at -5.863 eV/atom.

a = 3.8553 Å, b = 15.6633 Å, c = 9.5738 Å
α = 90.00°, β = 90.00°, γ = 90.00°
With the nearest neighbours (Å) after each atom.
Space group Imm2 (No. 44)
One atom of each set of equivalent atoms:
Dy: 0.0000 0.1847 0.0000 x4  2 Ni 2.77
Y: 0.0000 0.1456 0.6509 x4  2 Ni 2.85, 2 Te 3.15
Y: 0.0000 0.3691 0.7991 x4  2 Ni 2.82, 1 Te 3.13
Er: 0.0000 0.5000 0.3819 x2  3 Te 3.17-3.21
Ni: 0.0000 0.2623 0.3106 x4  2 Dy 2.77, 4 Y 2.82-2.85
Te: 0.0000 0.0000 0.1447 x2  2 Er 3.17, 4 Y 3.18, 2 Dy 3.21
Te: 0.0000 0.5000 0.0461 x2  6 Y 3.13-3.15, 1 Er 3.21

=====

An optimized crystal structure of Nb4Mo2I, computed with GGA-PBE.

The total magnetization is 0.02 Bohr magnetons per cell. The calculation puts the final energy at -8.439 eV/atom.

a = 6.4511 Å, b = 6.4511 Å, c = 3.2567 Å
α = 90.00°, β = 90.00°, γ = 90.00°
With the nearest neighbours (Å) after each atom.
Space group P-42m (No. 111)
One atom of each set of equivalent atoms:
Nb: 0.2197 0.2197 0.4919 x4  4 Mo 2.80-2.83, 2 Nb 2.83, 2 I 3.02-3.05
Mo: 0.0000 0.5000 0.0000 x2  8 Nb 2.80-2.83
I: 0.5000 0.5000 0.0000 x1  8 Nb 3.02-3.05, 4 Mo 3.23, 2 I 3.26

=====

An optimized crystal structure of UBOs, computed with GGA-PBE.

The total magnetization is 0.95 Bohr magnetons per cell. The calculation puts the final energy at -8.565 eV/atom.

a = 6.0631 Å, b = 6.0631 Å, c = 6.0631 Å
α = 90.00°, β = 90.00°, γ = 90.00°
With the nearest neighbours (Å) after each atom.
Space group F-43m (No. 216)
One atom of each set of equivalent atoms:
U: 0.0000 0.0000 0.0000 x4  4 B 2.63, 4 Os 2.63
B: 0.2500 0.2500 0.7500 x4  4 U 2.63
Os: 0.2500 0.2500 0.2500 x4  4 U 2.63

=====

An optimized crystal structure of TaTe2, computed with GGA-PBE.

The total magnetization is 0.10 Bohr magnetons per cell. The calculation puts the final energy at -6.408 eV/atom.

a = 15.2541 Å, b = 10.9499 Å, c = 9.5316 Å
α = 90.00°, β = 111.77°, γ = 90.00°
With the nearest neighbours (Å) after each atom.
Space group C2/m (No. 12)
One atom of each set of equivalent atoms:
Ta: 0.0000 0.0000 0.0000 x2  6 Te 2.89-2.90
Ta: 0.0000 0.3049 0.0000 x4  6 Te 2.77-2.93
Ta: 0.1364 0.5000 0.2888 x4  6 Te 2.65-2.93
Ta: 0.1396 0.1616 0.2872 x8  6 Te 2.70-2.94
Te: 0.0064 0.0000 0.3082 x4  3 Ta 2.76-2.90
Te: 0.0076 0.3289 0.3065 x8  3 Ta 2.76-2.89
Te: 0.1339 0.5000 0.0097 x4  3 Ta 2.65-2.93
Te: 0.1522 0.1615 0.0117 x8  3 Ta 2.70-2.89
Te: 0.2042 0.5000 0.6194 x4  3 Ta 2.83-2.93
Te: 0.2081 0.1662 0.6189 x8  3 Ta 2.86-2.94

=====

An optimized crystal structure of LiAc3Pt8, computed with GGA-PBE.

The total magnetization is 0.02 Bohr magnetons per cell. The calculation puts the final energy at -6.164 eV/atom.

a = 5.5889 Å, b = 5.5889 Å, c = 27.3342 Å
α = 90.00°, β = 90.00°, γ = 120.00°
With the nearest neighbours (Å) after each atom.
Space group R3m (No. 160, hexagonal axes)
One atom of each set of equivalent atoms:
Li: 0.0000 0.0000 0.0000 x3  6 Pt 2.90-3.23
Ac: 0.0000 0.0000 0.3539 x3  12 Pt 3.12-3.35, 3 Li 3.28
Ac: 0.0000 0.0000 0.4832 x3  12 Pt 3.26-3.33, 4 Ac 3.53-3.55
Ac: 0.0000 0.0000 0.8709 x3  9 Pt 3.14-3.34
Pt: 0.0000 0.0000 0.1725 x3  6 Pt 2.81
Pt: 0.0000 0.0000 0.6721 x3  6 Pt 2.76-2.78
Pt: 0.0000 0.5000 0.4217 x9  6 Pt 2.78-2.81, 1 Li 2.90
Pt: 0.1680 0.3359 0.2565 x9  6 Pt 2.76-2.82

=====

An optimized crystal structure of Nd2SmZn2Si4Au2, computed with GGA-PBE.

The total magnetization is 0.01 Bohr magnetons per cell. The calculation puts the final energy at -4.721 eV/atom.

a = 4.2259 Å, b = 4.2453 Å, c = 24.7801 Å
α = 90.00°, β = 90.00°, γ = 90.00°
With the nearest neighbours (Å) after each atom.
Space group Immm (No. 71)
One atom of each set of equivalent atoms:
Nd: 0.0000 0.0000 0.1447 x4  6 Si 3.20-3.21, 4 Zn 3.25, 4 Au 3.35-3.37
Sm: 0.0000 0.5000 0.5000 x2  4 Zn 3.15, 8 Si 3.22
Zn: 0.0000 0.0000 0.4060 x4  3 Si 2.38-2.41
Si: 0.0000 0.0000 0.3099 x4  1 Zn 2.38, 4 Au 2.58-2.60
Si: 0.0000 0.5000 0.0474 x4  1 Si 2.35, 2 Zn 2.41
Au: 0.0000 0.5000 0.2496 x4  4 Si 2.58-2.60

=====

Among the records above, which one has the highest final energy?
CuAg4

=====

The highest final energy belongs to which entry?
CuAg4